Record 1
# PBE KPrNb, optimized geometry
# calculated density = 3.8 g/cm3
# ΔE to the lowest computed polymorph = 0.00 kcal/mol of atoms
# E_tot = -3.773 eV per atom
data_KPrNb
_chemical_formula_sum 'K4 Pr4 Nb4'
_cell_length_a 7.848
_cell_length_b 7.848
_cell_length_c 7.848
_cell_angle_alpha 90.00
_cell_angle_beta 90.00
_cell_angle_gamma 90.00
_space_group_name_H-M_alt 'F -4 3 m'
_space_group_IT_number 216
_space_group_name_Hall 'F -4 2 3'
loop_
_atom_site_label
_atom_site_type_symbol
_atom_site_fract_x
_atom_site_fract_y
_atom_site_fract_z
_atom_site_occupancy
K1 K 0.000 0.000 0.000 1
Pr1 Pr 0.000 0.000 0.500 1
Nb1 Nb 0.250 0.250 0.250 1

Record 2
# PBE Cu2H6IrPd, optimized geometry
# calculated density = 8.7 g/cm3
# E_tot = -3.988 eV per atom
data_Cu2H6IrPd
_chemical_formula_sum 'Cu8 H24 Ir4 Pd4'
_cell_length_a 6.901
_cell_length_b 6.901
_cell_length_c 6.901
_cell_angle_alpha 90.00
_cell_angle_beta 90.00
_cell_angle_gamma 90.00
_space_group_name_H-M_alt 'F m -3 m'
_space_group_IT_number 225
_space_group_name_Hall '-F 4 2 3'
loop_
_atom_site_label
_atom_site_type_symbol
_atom_site_fract_x
_atom_site_fract_y
_atom_site_fract_z
_atom_site_occupancy
Cu1 Cu 0.250 0.250 0.250 1
H1 H 0.000 0.000 0.246 1
Ir1 Ir 0.000 0.000 0.000 1
Pd1 Pd 0.000 0.000 0.500 1

> The highest calculated density belongs to which entry?

Cu2H6IrPd